This record from Alexandria describes MgCo2Ag after structural relaxation. The functional is PBE-GGA.

Unit cell a=3.0896 b=4.4322 c=8.5513 alpha=90.00 beta=90.00 gamma=90.00
Space group Imm2 (No. 44)
Inequivalent atoms, fractional coordinates:
Mg1 0.0000 0.0000 0.0000
Co1 0.0000 0.0000 0.5357
Co2 0.0000 0.5000 0.2322
Ag1 0.0000 0.5000 0.7733

Properties
calculated formation energy: 4.96 kcal/mol of atoms
total moment: 6.2 Bohr magnetons per cell